Here is LiBeAl after structural relaxation from the Alexandria database. Energies are from PBE.

Results
* energy: -3.12 eV per atom
* M_tot: 0.0 μB per cell
* calculated volume: 162.6 Å³ per cell
* energy relative to the lowest polymorph listed for this composition: 0.00 eV/f.u.
* D(E_F): 0.355 states/eV/f.u.
* calculated density: 1.75 g/cm³
* formation energy from the elements: 0.006 eV/atom

a b c (Å): 9.127 3.859 4.632
angles (deg): 90.00 94.47 90.00
Sites, in units of the cell vectors:
Li: 0.059 0.000 0.241
Li: 0.441 0.500 0.759
Li: 0.559 0.500 0.241
Li: 0.941 0.000 0.759
Be: 0.247 0.500 0.118
Be: 0.253 0.000 0.882
Be: 0.747 0.000 0.118
Be: 0.753 0.500 0.882
Al: 0.151 0.500 0.618
Al: 0.349 0.000 0.382
Al: 0.651 0.000 0.618
Al: 0.849 0.500 0.382

Here is Zr2TcPt after structural relaxation from the Alexandria database. Energies are from PBE.

Results
* energy: -8.94 eV per atom
* M_tot: 0.0 μB per cell
* calculated volume: 152.0 Å³ per cell
* D(E_F): 4.246 states/eV/f.u.
* calculated density: 10.39 g/cm³
* formation energy from the elements: -0.562 eV/atom

a b c (Å): 4.435 3.387 10.115
angles (deg): 90.00 90.00 90.00
Sites, in units of the cell vectors:
Zr: 0.000 0.000 0.000
Zr: 0.000 0.500 0.500
Zr: 0.500 0.000 0.291
Zr: 0.500 0.500 0.791
Tc: 0.000 0.000 0.742
Tc: 0.000 0.500 0.242
Pt: 0.500 0.000 0.563
Pt: 0.500 0.500 0.063

Here is La4Y5 after structural relaxation from the Alexandria database. Energies are from PBE.

Results
* energy: -5.71 eV per atom
* M_tot: 0.0 μB per cell
* calculated volume: 622.1 Å³ per cell
* energy relative to the lowest polymorph listed for this composition: 0.37 eV/f.u.
* D(E_F): 15.925 states/eV/f.u.
* calculated density: 5.34 g/cm³
* formation energy from the elements: 0.068 eV/atom

a b c (Å): 9.998 9.998 7.187
angles (deg): 90.00 90.00 120.00
Sites, in units of the cell vectors:
La: 0.000 0.000 0.000
La: 0.000 0.000 0.500
La: 0.000 0.348 0.250
La: 0.000 0.652 0.750
La: 0.348 0.000 0.250
La: 0.348 0.348 0.750
La: 0.652 0.000 0.750
La: 0.652 0.652 0.250
Y: 0.000 0.325 0.750
Y: 0.000 0.675 0.250
Y: 0.325 0.000 0.750
Y: 0.325 0.325 0.250
Y: 0.333 0.667 0.000
Y: 0.333 0.667 0.500
Y: 0.667 0.333 0.000
Y: 0.667 0.333 0.500
Y: 0.675 0.000 0.250
Y: 0.675 0.675 0.750

Here is In2Cu2Te after structural relaxation from the Alexandria database. Energies are from PBE.

Results
* energy: -3.19 eV per atom
* M_tot: 0.0 μB per cell
* calculated volume: 214.7 Å³ per cell
* formation energy without anion corrections: 0.17 eV/atom
* energy relative to the lowest polymorph listed for this composition: 0.48 eV/f.u.
* D(E_F): 2.545 states/eV/f.u.
* calculated density: 7.49 g/cm³

a b c (Å): 4.218 4.218 12.067
angles (deg): 90.00 90.00 90.00
Sites, in units of the cell vectors:
In: 0.000 0.500 0.250
In: 0.000 0.500 0.750
In: 0.500 0.000 0.250
In: 0.500 0.000 0.750
Cu: 0.000 0.000 0.100
Cu: 0.000 0.000 0.900
Cu: 0.500 0.500 0.400
Cu: 0.500 0.500 0.600
Te: 0.000 0.000 0.500
Te: 0.500 0.500 0.000

Here is BaCr2Cd after structural relaxation from the Alexandria database. Energies are from PBE.

Results
* energy: -5.08 eV per atom
* M_tot: 0.5 μB per cell
* calculated volume: 91.4 Å³ per cell
* D(E_F): 2.812 states/eV/f.u.
* calculated density: 6.43 g/cm³
* formation energy from the elements: 0.443 eV/atom

a b c (Å): 3.308 3.297 8.379
angles (deg): 90.00 90.12 90.00
Sites, in units of the cell vectors:
Ba: 0.000 0.000 0.000
Cr: 0.000 0.000 0.441
Cr: 0.500 0.500 0.325
Cd: 0.500 0.500 0.668

Here is Cr2NiRhN after structural relaxation from the Alexandria database. Energies are from PBE.

Results
* energy: -8.28 eV per atom
* M_tot: 2.7 μB per cell
* calculated volume: 56.0 Å³ per cell
* formation energy without anion corrections: -0.13 eV/atom
* D(E_F): 7.006 states/eV/f.u.
* calculated density: 8.30 g/cm³

a b c (Å): 3.827 3.827 3.822
angles (deg): 90.00 90.00 90.00
Sites, in units of the cell vectors:
Cr: 0.000 0.500 0.000
Cr: 0.500 0.000 0.000
Ni: 0.000 0.000 0.500
Rh: 0.500 0.500 0.500
N: 0.000 0.000 0.000

Here is BaLa2SnH after structural relaxation from the Alexandria database. Energies are from PBE.

Results
* energy: -4.21 eV per atom
* M_tot: 1.4 μB per cell
* calculated volume: 142.8 Å³ per cell
* D(E_F): 5.711 states/eV/f.u.
* calculated density: 6.22 g/cm³

a b c (Å): 5.222 5.222 5.236
angles (deg): 90.00 90.00 90.00
Sites, in units of the cell vectors:
Ba: 0.000 0.000 0.000
La: 0.000 0.500 0.500
La: 0.500 0.000 0.500
Sn: 0.500 0.500 0.000
H: 0.000 0.000 0.500

Here is ZnSb2Se after structural relaxation from the Alexandria database. Energies are from PBE.

Results
* energy: -2.99 eV per atom
* M_tot: 0.0 μB per cell
* calculated volume: 191.6 Å³ per cell
* formation energy without anion corrections: 0.26 eV/atom
* energy relative to the lowest polymorph listed for this composition: 1.83 eV/f.u.
* D(E_F): 1.593 states/eV/f.u.
* calculated density: 6.72 g/cm³

a b c (Å): 4.361 4.361 10.072
angles (deg): 90.00 90.00 90.00
Sites, in units of the cell vectors:
Zn: 0.000 0.000 0.000
Zn: 0.500 0.500 0.500
Sb: 0.000 0.500 0.250
Sb: 0.000 0.500 0.750
Sb: 0.500 0.000 0.250
Sb: 0.500 0.000 0.750
Se: 0.000 0.000 0.500
Se: 0.500 0.500 0.000